GGA-PBE NaCa2HgF8, relaxed; final energy = -4.495 eV/atom; E_form (uncorrected) = -268 kJ/mol of atoms
1.0
5.4992 0.0000 0.0000
0.0000 4.0617 0.0000
-0.0358 0.0000 7.6382
Na Ca Hg F
1 2 1 8
direct
0.0000 0.0000 0.0000 Na
0.4989 0.5000 0.2480 Ca
0.5011 0.5000 0.7520 Ca
0.0000 0.0000 0.5000 Hg
0.2532 0.0000 0.7349 F
0.2534 0.5000 0.4996 F
0.2575 0.0000 0.2632 F
0.2591 0.5000 0.9986 F
0.7409 0.5000 0.0014 F
0.7425 0.0000 0.7368 F
0.7468 0.0000 0.2651 F
0.7466 0.5000 0.5004 F